(1)
La7Co2Sn2: optimized geometry, GGA-PBE.

abc: 7.1388 7.1305 7.1388
angles: 90.00 110.36 90.00
With the nearest neighbours (Å) after each atom.
Fractional coordinates of all 11 atoms:
Co: 0.7246 0.0000 0.2754  4 La 2.71
Co: 0.2754 0.0000 0.7246  4 La 2.71
La: 0.5003 0.7536 0.9998  2 Co 2.71
La: 0.4997 0.2464 0.0002  2 Co 2.71
Sn: 0.1782 0.5000 0.1782  1 Sn 2.90
La: 0.0002 0.7536 0.4997  2 Co 2.71
La: 0.0000 0.0000 0.0000  2 Co 3.23
Sn: 0.8218 0.5000 0.8218  1 Sn 2.90
La: 0.9998 0.2464 0.5003  2 Co 2.71
La: 0.5002 0.7855 0.4998  2 Co 3.04-3.05, 1 La 3.06, 2 Sn 3.32
La: 0.4998 0.2145 0.5002  2 Co 3.04-3.05, 1 La 3.06, 2 Sn 3.32

Formation energy from the elements in kcal/mol of atoms: -6.91
Space group: No. 65
D(E_F) in states/eV/f.u.: 11.5
Total magnetic moment in μB per atom: 0.000


(2)
KNb2SbO8: optimized geometry, GGA-PBE.

abc: 5.3337 5.3337 7.2362
angles: 78.30 78.30 71.81
With the nearest neighbours (Å) after each atom.
Fractional coordinates of all 12 atoms:
O: 0.7700 0.2248 0.1974  1 Nb 1.93, 1 Sb 2.01
O: 0.7752 0.2300 0.8026  1 Nb 1.93, 1 Sb 2.01
O: 0.2300 0.7752 0.8026  1 Nb 1.93, 1 Sb 2.01
O: 0.7643 0.7643 0.0734  1 Nb 1.90, 1 Sb 1.97
O: 0.6497 0.6497 0.4849  1 Nb 1.86
Sb: 0.0000 0.0000 0.0000  6 O 1.97-2.01
Nb: 0.5702 0.5701 0.2679  4 O 1.86-1.93
Nb: 0.4298 0.4299 0.7321  4 O 1.86-1.93
O: 0.2357 0.2357 0.9266  1 Nb 1.90, 1 Sb 1.97
O: 0.3503 0.3503 0.5151  1 Nb 1.86
O: 0.2248 0.7700 0.1974  1 Nb 1.93, 1 Sb 2.01
K: 0.0000 0.0000 0.5000  4 O 2.62

Space group: No. 12
Final energy in eV/atom: -7.523
D(E_F) in states/eV/f.u.: 0.0
Total magnetic moment in μB per atom: 0.000